Li7Mn2Co3O12: relaxed, GGA+U.

Excess energy over the best structure of this formula in the dataset ... 0.0156 eV per atom
Magnetic moment ... 0.586 μB per atom

Geometry as POSCAR:
```
Li7Mn2Co3O12
1.0
2.529 -4.328 0.000
2.529 4.328 0.000
-1.616 0.000 9.645
Li Mn Co O
7 2 3 12
Direct
0.000 0.000 0.000
0.092 0.415 0.248
0.242 0.248 0.754
0.400 0.065 0.244
0.585 0.908 0.752
0.752 0.758 0.246
0.935 0.600 0.756
0.166 0.834 0.500
0.668 0.332 0.000
0.333 0.667 0.000
0.507 0.493 0.500
0.829 0.171 0.500
0.041 0.675 0.109
0.133 0.114 0.382
0.210 0.556 0.614
0.325 0.959 0.891
0.398 0.399 0.111
0.444 0.790 0.386
0.512 0.189 0.617
0.601 0.602 0.889
0.677 0.032 0.111
0.811 0.488 0.383
0.886 0.867 0.618
0.968 0.323 0.889
```